LiCa5In4 | PBE-GGA | optimized geometry

Results
Mass density: 3.804 g cm⁻³
Total magnetic moment: 0.000 μB/f.u.
DFT formation energy: -3.80 eV per formula unit

Unit cell a=3.9107 b=3.9107 c=19.0291 alpha=90.00 beta=90.00 gamma=90.00
Element x y z (fractional)
Li1 0.0000 0.0000 0.0000
Ca1 0.5000 0.5000 0.1067
Ca2 0.5000 0.5000 0.3029
Ca3 0.5000 0.5000 0.5000
Ca4 0.5000 0.5000 0.6971
Ca5 0.5000 0.5000 0.8933
In1 0.0000 0.0000 0.2029
In2 0.0000 0.0000 0.4010
In3 0.0000 0.0000 0.5990
In4 0.0000 0.0000 0.7971

GdHfMg2 | PBE-GGA | optimized geometry

Results
Mass density: 6.320 g cm⁻³
E above lowest polymorph: 0.256 eV/atom
Total magnetic moment: 7.482 μB/f.u.
DFT formation energy: 1.36 eV per formula unit

Unit cell a=12.0927 b=12.0927 c=12.0927 alpha=14.84 beta=14.84 gamma=14.84
Element x y z (fractional)
Gd1 0.0000 0.0000 0.0000
Hf1 0.5000 0.5000 0.5000
Mg1 0.4149 0.4149 0.4149
Mg2 0.5851 0.5851 0.5851

Te3HPb | PBE-GGA | optimized geometry

Results
Mass density: 8.049 g cm⁻³
E above lowest polymorph: 0.000 eV/atom
Total magnetic moment: 0.000 μB/f.u.

Unit cell a=4.9588 b=4.9588 c=4.9588 alpha=90.00 beta=90.00 gamma=90.00
Element x y z (fractional)
Te1 0.0000 0.0000 0.5000
Te2 0.0000 0.5000 0.0000
Te3 0.5000 0.0000 0.0000
H1 0.0000 0.0000 0.0000
Pb1 0.5000 0.5000 0.5000

BRu | PBE-GGA | optimized geometry

Results
Mass density: 8.505 g cm⁻³
Total magnetic moment: 0.000 μB/f.u.
DFT formation energy: -0.29 eV per formula unit

Unit cell a=3.9930 b=3.9930 c=4.2246 alpha=104.47 beta=104.47 gamma=42.32
Element x y z (fractional)
B1 0.0982 0.0982 0.1784
B2 0.9018 0.9018 0.8216
Ru1 0.1759 0.1759 0.7194
Ru2 0.8241 0.8241 0.2806

K2RbNiRu | PBE-GGA | optimized geometry

Results
Mass density: 2.983 g cm⁻³
Total magnetic moment: 1.388 μB/f.u.
DFT formation energy: 4.21 eV per formula unit

Unit cell a=6.2447 b=6.2447 c=4.6164 alpha=90.00 beta=90.00 gamma=90.00
Element x y z (fractional)
K1 0.0000 0.5000 0.0000
K2 0.5000 0.0000 0.0000
Rb1 0.0000 0.0000 0.5000
Ni1 0.5000 0.5000 0.0000
Ru1 0.5000 0.5000 0.5000

MgTaRu2 | PBE-GGA | optimized geometry

Results
Mass density: 10.153 g cm⁻³
Total magnetic moment: 0.004 μB/f.u.
DFT formation energy: -0.13 eV per formula unit

Unit cell a=8.4600 b=8.4600 c=8.4600 alpha=20.76 beta=20.76 gamma=20.76
Element x y z (fractional)
Mg1 0.0000 0.0000 0.0000
Ta1 0.5000 0.5000 0.5000
Ru1 0.2444 0.2444 0.2444
Ru2 0.7556 0.7556 0.7556

Zn2GaBi2 | PBE-GGA | optimized geometry

Results
Mass density: 8.104 g cm⁻³
E above lowest polymorph: 0.000 eV/atom
Total magnetic moment: 0.000 μB/f.u.
DFT formation energy: 0.64 eV per formula unit

Unit cell a=8.4253 b=8.4253 c=8.4253 alpha=152.57 beta=152.57 gamma=39.19
Element x y z (fractional)
Zn1 0.2500 0.7500 0.5000
Zn2 0.7500 0.2500 0.5000
Ga1 0.0000 0.0000 0.0000
Bi1 0.3826 0.3826 0.0000
Bi2 0.6175 0.6175 0.0000

ZrTc | PBE-GGA | optimized geometry

Results
Mass density: 8.573 g cm⁻³
Total magnetic moment: 0.000 μB/f.u.
DFT formation energy: -0.10 eV per formula unit

Unit cell a=5.8075 b=4.6380 c=5.4426 alpha=90.00 beta=90.00 gamma=90.00
Element x y z (fractional)
Zr1 0.1354 0.2500 0.1389
Zr2 0.3646 0.7500 0.6389
Zr3 0.6354 0.2500 0.3611
Zr4 0.8646 0.7500 0.8611
Tc1 0.0922 0.2500 0.6462
Tc2 0.4078 0.7500 0.1462
Tc3 0.5922 0.2500 0.8538
Tc4 0.9078 0.7500 0.3538